LaTa2Be after structural relaxation. Source: Alexandria, functional GGA-PBE.

a = 2.8816 Å, b = 2.8816 Å, c = 9.1011 Å
α = 90.00°, β = 90.00°, γ = 90.02°
With the nearest neighbours (Å) after each atom.
Fractional coordinates of all 4 atoms:
Be (0.5000, 0.5000, 0.2500)  8 Ta 2.62, 4 Be 2.88
La (0.5000, 0.5000, 0.7500)  4 La 2.88
Ta (0.0000, 0.0000, 0.0685)  4 Be 2.62, 4 Ta 2.88
Ta (0.0000, 0.0000, 0.4315)  4 Be 2.62, 4 Ta 2.88

Properties
N(E_F) = 4.15 states/eV/f.u.
DFT formation energy = 0.358 eV/atom
Space-group type = No. 123

***

LaTa2Be after structural relaxation. Source: Alexandria, functional GGA-PBE.

a = 2.9194 Å, b = 2.9194 Å, c = 9.0345 Å
α = 90.00°, β = 90.00°, γ = 90.00°
With the nearest neighbours (Å) after each atom.
Fractional coordinates of all 4 atoms:
Be (0.0000, 0.0000, 0.4620)  4 Ta 2.61, 4 Be 2.92
La (0.5000, 0.5000, 0.7156)  4 La 2.92, 4 Be 3.08
Ta (0.0000, 0.0000, 0.0375)  8 Ta 2.92-3.04
Ta (0.5000, 0.5000, 0.2849)  4 Be 2.61, 4 Ta 2.92

Properties
N(E_F) = 4.79 states/eV/f.u.
DFT formation energy = 0.354 eV/atom
Space-group type = No. 99

***

LaTa2Be after structural relaxation. Source: Alexandria, functional GGA-PBE.

a = 4.0978 Å, b = 4.0978 Å, c = 10.2407 Å
α = 78.46°, β = 78.46°, γ = 90.00°
With the nearest neighbours (Å) after each atom.
Fractional coordinates of all 8 atoms:
Be (0.5000, 0.5000, 0.0000)  4 Ta 2.82, 4 La 2.90
Be (0.2500, 0.7500, 0.5000)  4 Ta 2.82, 4 La 2.90
La (0.0000, 0.0000, 0.0000)  4 Ta 2.89, 4 Be 2.90
La (0.7500, 0.2500, 0.5000)  4 Ta 2.89, 4 Be 2.90
Ta (0.1473, 0.1250, 0.2500)  4 Ta 2.77-3.03, 2 Be 2.82, 2 La 2.89
Ta (0.6027, 0.6250, 0.2500)  4 Ta 2.77-3.03, 2 Be 2.82, 2 La 2.89
Ta (0.3750, 0.8527, 0.7500)  4 Ta 2.77-3.03, 2 Be 2.82, 2 La 2.89
Ta (0.8750, 0.3973, 0.7500)  4 Ta 2.77-3.03, 2 Be 2.82, 2 La 2.89

Properties
N(E_F) = 4.05 states/eV/f.u.
DFT formation energy = 0.796 eV/atom
Space-group type = No. 122

***

La4TaBe after structural relaxation. Source: Alexandria, functional GGA-PBE.

a = 6.3020 Å, b = 6.3020 Å, c = 6.3020 Å
α = 60.00°, β = 60.00°, γ = 60.00°
With the nearest neighbours (Å) after each atom.
Fractional coordinates of all 6 atoms:
La (0.8731, 0.3756, 0.3756)  6 La 3.13-3.17
La (0.3756, 0.3756, 0.8731)  6 La 3.13-3.17
La (0.3756, 0.8731, 0.3756)  6 La 3.13-3.17
La (0.3756, 0.3756, 0.3756)  6 La 3.13-3.17
Ta (0.7500, 0.7500, 0.7500)  12 La 3.69, 4 Be 3.86
Be (0.0000, 0.0000, 0.0000)  12 La 3.70, 4 Ta 3.86

Properties
N(E_F) = 8.47 states/eV/f.u.
DFT formation energy = 1.056 eV/atom
Space-group type = No. 216

***

LaTa2Be after structural relaxation. Source: Alexandria, functional GGA-PBE.

a = 3.0966 Å, b = 5.1299 Å, c = 6.0989 Å
α = 53.11°, β = 90.00°, γ = 90.00°
With the nearest neighbours (Å) after each atom.
Fractional coordinates of all 4 atoms:
Be (0.5000, 0.5000, 0.5000)  6 Ta 2.98-3.05, 4 La 3.00, 2 Be 3.10
La (0.0000, 0.0000, 0.5000)  6 Ta 2.98-3.05, 4 Be 3.00, 2 La 3.10
Ta (0.0000, 0.0000, 0.0000)  4 Be 2.98, 6 Ta 3.00-3.10, 2 La 3.05
Ta (0.5000, 0.5000, 0.0000)  4 La 2.98, 6 Ta 3.00-3.10, 2 Be 3.05

Properties
N(E_F) = 3.26 states/eV/f.u.
DFT formation energy = 0.610 eV/atom
Space-group type = No. 10

***

La2TbBe after structural relaxation. Source: Alexandria, functional GGA-PBE.

a = 3.6716 Å, b = 3.6716 Å, c = 8.6118 Å
α = 90.00°, β = 90.00°, γ = 90.00°
With the nearest neighbours (Å) after each atom.
Fractional coordinates of all 4 atoms:
Be (0.5000, 0.5000, 0.0000)  8 La 3.10
Tb (0.5000, 0.5000, 0.5000)  4 Tb 3.67, 8 La 3.69
La (0.0000, 0.0000, 0.8041)  4 Be 3.10, 1 La 3.37
La (0.0000, 0.0000, 0.1959)  4 Be 3.10, 1 La 3.37

Properties
N(E_F) = 5.88 states/eV/f.u.
DFT formation energy = 0.137 eV/atom
Space-group type = No. 123

***

LaTbBeZn after structural relaxation. Source: Alexandria, functional GGA-PBE.

a = 5.0894 Å, b = 5.0894 Å, c = 5.0894 Å
α = 60.00°, β = 60.00°, γ = 60.00°
With the nearest neighbours (Å) after each atom.
Fractional coordinates of all 4 atoms:
Be (0.0000, 0.0000, 0.0000)  4 La 3.12, 4 Tb 3.12
Zn (0.5000, 0.5000, 0.5000)  4 Tb 3.12, 4 La 3.12
Tb (0.7500, 0.7500, 0.7500)  4 Zn 3.12, 4 Be 3.12
La (0.2500, 0.2500, 0.2500)  4 Be 3.12, 4 Zn 3.12

Properties
N(E_F) = 4.65 states/eV/f.u.
DFT formation energy = -0.045 eV/atom
Space-group type = No. 216

***

LaBeTc2 after structural relaxation. Source: Alexandria, functional GGA-PBE.

a = 5.8640 Å, b = 5.8640 Å, c = 5.8640 Å
α = 42.24°, β = 42.24°, γ = 42.24°
With the nearest neighbours (Å) after each atom.
Fractional coordinates of all 4 atoms:
Be (0.2500, 0.2500, 0.2500)  6 Tc 2.46
Tc (0.9350, 0.9350, 0.9350)  3 Be 2.46, 3 Tc 2.51
Tc (0.5650, 0.5650, 0.5650)  3 Be 2.46, 3 Tc 2.51
La (0.7500, 0.7500, 0.7500)  2 Tc 2.96

Properties
N(E_F) = 3.16 states/eV/f.u.
DFT formation energy = -0.012 eV/atom
Space-group type = No. 166

***

LaBeTc2 after structural relaxation. Source: Alexandria, functional GGA-PBE.

a = 2.9363 Å, b = 2.9363 Å, c = 7.9925 Å
α = 90.00°, β = 90.00°, γ = 110.96°
With the nearest neighbours (Å) after each atom.
Fractional coordinates of all 4 atoms:
Be (0.5000, 0.5000, 0.2500)  4 Tc 2.29
Tc (0.0000, 0.0000, 0.0533)  2 Be 2.29
Tc (0.0000, 0.0000, 0.4467)  2 Be 2.29
La (0.5000, 0.5000, 0.7500)  4 La 2.94, 4 Tc 2.94

Properties
N(E_F) = 4.23 states/eV/f.u.
DFT formation energy = 0.439 eV/atom
Space-group type = No. 65

***

La2Be2Tc after structural relaxation. Source: Alexandria, functional GGA-PBE.

a = 7.7642 Å, b = 7.7642 Å, c = 3.6700 Å
α = 90.00°, β = 90.00°, γ = 90.00°
With the nearest neighbours (Å) after each atom.
Fractional coordinates of all 10 atoms:
Be (0.0937, 0.5937, 0.5000)  1 Be 2.06
Be (0.5937, 0.9063, 0.5000)  1 Be 2.06
Be (0.9063, 0.4063, 0.5000)  1 Be 2.06
Be (0.4063, 0.0937, 0.5000)  1 Be 2.06
Tc (0.0000, 0.0000, 0.0000)  4 La 2.80
Tc (0.5000, 0.5000, 0.0000)  4 La 2.80
La (0.3021, 0.8021, 0.0000)  2 Tc 2.80, 6 Be 2.93-3.02
La (0.8021, 0.6979, 0.0000)  2 Tc 2.80, 6 Be 2.93-3.02
La (0.6979, 0.1979, 0.0000)  2 Tc 2.80, 6 Be 2.93-3.02
La (0.1979, 0.3021, 0.0000)  2 Tc 2.80, 6 Be 2.93-3.02

Properties
N(E_F) = 5.62 states/eV/f.u.
DFT formation energy = 0.734 eV/atom
Space-group type = No. 127

***

LaBeTc2 after structural relaxation. Source: Alexandria, functional GGA-PBE.

a = 4.3043 Å, b = 4.3043 Å, c = 9.0917 Å
α = 76.31°, β = 76.31°, γ = 90.00°
With the nearest neighbours (Å) after each atom.
Fractional coordinates of all 8 atoms:
Be (0.5000, 0.5000, 0.0000)  4 Tc 2.46
Be (0.2500, 0.7500, 0.5000)  4 Tc 2.46
Tc (0.2477, 0.1250, 0.2500)  2 Tc 2.42, 2 Be 2.46
Tc (0.5023, 0.6250, 0.2500)  2 Tc 2.42, 2 Be 2.46
Tc (0.3750, 0.7523, 0.7500)  2 Tc 2.42, 2 Be 2.46
Tc (0.8750, 0.4977, 0.7500)  2 Tc 2.42, 2 Be 2.46
La (0.0000, 0.0000, 0.0000)  4 Tc 2.88, 4 Be 3.04
La (0.7500, 0.2500, 0.5000)  4 Tc 2.88, 4 Be 3.04

Properties
N(E_F) = 4.65 states/eV/f.u.
DFT formation energy = 0.441 eV/atom
Space-group type = No. 122

***

La2BeTc after structural relaxation. Source: Alexandria, functional GGA-PBE.

a = 3.9647 Å, b = 5.2771 Å, c = 8.8977 Å
α = 90.00°, β = 90.45°, γ = 90.00°
With the nearest neighbours (Å) after each atom.
Fractional coordinates of all 8 atoms:
Be (0.9985, 0.2500, 0.9187)  4 Tc 2.49
Be (0.0015, 0.7500, 0.0813)  4 Tc 2.49
Tc (0.5000, 0.0000, 0.0000)  4 Be 2.49, 2 Tc 2.64
Tc (0.5000, 0.5000, 0.0000)  4 Be 2.49, 2 Tc 2.64
La (0.4946, 0.2500, 0.6501)  2 Be 3.10-3.11, 2 Tc 3.38, 4 La 3.46
La (0.5054, 0.7500, 0.3499)  2 Be 3.10-3.11, 2 Tc 3.38, 4 La 3.46
La (0.0024, 0.2500, 0.2339)  3 Be 2.80-2.97
La (0.9976, 0.7500, 0.7661)  3 Be 2.80-2.97

Properties
N(E_F) = 3.83 states/eV/f.u.
DFT formation energy = -0.004 eV/atom
Space-group type = No. 11

***

LaBeTc2 after structural relaxation. Source: Alexandria, functional GGA-PBE.

a = 3.1798 Å, b = 3.1798 Å, c = 6.9639 Å
α = 90.00°, β = 90.00°, γ = 90.00°
With the nearest neighbours (Å) after each atom.
Fractional coordinates of all 4 atoms:
Be (0.5000, 0.5000, 0.2500)  8 Tc 2.51
Tc (0.0000, 0.0000, 0.0892)  1 Tc 2.24
Tc (0.0000, 0.0000, 0.4108)  1 Tc 2.24
La (0.5000, 0.5000, 0.7500)  4 La 3.18, 8 Tc 3.26, 2 Be 3.48

Properties
N(E_F) = 3.43 states/eV/f.u.
DFT formation energy = 0.225 eV/atom
Space-group type = No. 123

***

La2BeTc after structural relaxation. Source: Alexandria, functional GGA-PBE.

a = 4.0422 Å, b = 4.2829 Å, c = 6.0011 Å
α = 69.05°, β = 90.00°, γ = 90.00°
With the nearest neighbours (Å) after each atom.
Fractional coordinates of all 4 atoms:
Be (0.5000, 0.5738, 0.7278)  2 Tc 2.34
Tc (0.0000, 0.6779, 0.5178)  2 Be 2.34
La (0.0000, 0.9876, 0.9011)  2 Tc 3.03-3.04, 4 Be 3.10
La (0.5000, 0.2607, 0.3532)  2 Be 3.00, 4 Tc 3.08-3.09

Properties
N(E_F) = 3.54 states/eV/f.u.
DFT formation energy = 0.047 eV/atom
Space-group type = No. 38

***

| no. | E (eV per atom) |
| --- | --- |
| 1 | -7.73 |
| 2 | -7.74 |
| 3 | -7.29 |
| 4 | -4.83 |
| 5 | -7.48 |
| 6 | -4.42 |
| 7 | -3.68 |
| 8 | -7.36 |
| 9 | -6.91 |
| 10 | -4.80 |
| 11 | -6.91 |
| 12 | -5.99 |
| 13 | -7.12 |
| 14 | -5.94 |